La2AlTe2 | GGA-PBE | optimized geometry

abc: 8.583 8.583 4.207
angles: 90.00 90.00 90.00
Space group P4/mbm (No. 127)
Asymmetric unit:
La: 0.156 0.344 0.000 [4 per cell]
Al: 0.000 0.000 0.500 [2 per cell]
Te: 0.145 0.645 0.500 [4 per cell]

## Properties
The volume is 309.9 Å³/cell. As for the energy above the lowest structure with this stoichiometry: 0.004 eV per atom. The uncorrected formation energy is -911 meV/atom.


CsNaCu2 | GGA-PBE | optimized geometry

abc: 8.000 8.000 8.000
angles: 90.00 90.00 90.00
Space group Fm-3m (No. 225)
Asymmetric unit:
Cs: 0.000 0.000 0.000 [4 per cell]
Na: 0.000 0.000 0.500 [4 per cell]
Cu: 0.250 0.250 0.250 [8 per cell]

## Properties
The volume is 511.9 Å³/cell. As for the energy above the lowest structure with this stoichiometry: 0.011 eV per atom. As for the formation energy: 0.608 eV/atom.


Ti5Zn6In | GGA-PBE | optimized geometry

abc: 4.017 7.847 12.247
angles: 90.00 90.00 90.00
Space group Immm (No. 71)
Asymmetric unit:
Ti: 0.000 0.000 0.000 [2 per cell]
Ti: 0.000 0.000 0.328 [4 per cell]
Ti: 0.000 0.500 0.339 [4 per cell]
Zn: 0.000 0.248 0.172 [8 per cell]
Zn: 0.000 0.255 0.500 [4 per cell]
In: 0.000 0.500 0.000 [2 per cell]

## Properties
The volume is 386.0 Å³/cell. As for the formation energy: -0.145 eV/atom.


Pm2Er2Pb | GGA-PBE | optimized geometry

abc: 4.407 4.407 17.212
angles: 90.00 90.00 90.00
Space group I4/mmm (No. 139)
Asymmetric unit:
Pm: 0.000 0.000 0.088 [4 per cell]
Er: 0.000 0.500 0.250 [4 per cell]
Pb: 0.000 0.000 0.500 [2 per cell]

## Properties
The volume is 334.3 Å³/cell. As for the formation energy: 0.177 eV/atom.


Al2Pd5Pt | GGA-PBE | optimized geometry

abc: 5.522 11.043 3.917
angles: 90.00 90.00 90.00
Space group Pbam (No. 55)
Asymmetric unit:
Al: 0.246 0.123 0.000 [4 per cell]
Pd: 0.000 0.500 0.500 [2 per cell]
Pd: 0.003 0.750 0.500 [4 per cell]
Pd: 0.247 0.374 0.000 [4 per cell]
Pt: 0.000 0.000 0.500 [2 per cell]

## Properties
The volume is 238.8 Å³/cell. As for the formation energy: -0.626 eV/atom.


MgTlH2 | GGA-PBE | optimized geometry

abc: 6.143 6.143 6.143
angles: 90.00 90.00 90.00
Space group Fm-3m (No. 225)
Asymmetric unit:
Mg: 0.000 0.000 0.000 [4 per cell]
Tl: 0.000 0.000 0.500 [4 per cell]
H: 0.250 0.250 0.250 [8 per cell]

## Properties
The volume is 231.9 Å³/cell. As for the energy above the lowest structure with this stoichiometry: 0.384 eV per atom.


volume of number 2 (CsNaCu2)? 511.9 Å³/cell


What is the formula in the third record? Ti5Zn6In


Look up the volume of the second one. 511.9 Å³/cell